# 1
First-principles (GGA-PBE) data for a relaxed Co3PdRh crystal, as listed in the Alexandria database.

Computed properties:
- M_tot: 7.47 μB/cell
- Offset from the most stable computed form: 1.269 eV/atom
- Final energy: -27.133 eV/cell
- Formation energy from the elements: 1.346 eV per atom

Lattice parameters (Å, degrees): 4.4857 4.4857 4.4857 90.00 90.00 90.00
With the nearest neighbours (Å) after each atom.
Space group Pm-3m (No. 221)
Unique sites:
Co: 0.0000 0.0000 0.5000 (multiplicity 3)  2 Rh 2.24
Pd: 0.5000 0.5000 0.5000 (multiplicity 1)  12 Co 3.17
Rh: 0.0000 0.0000 0.0000 (multiplicity 1)  6 Co 2.24


# 2
First-principles (GGA-PBE) data for a relaxed LiAgCl2 crystal, as listed in the Alexandria database.

Computed properties:
- M_tot: 0.00 μB/cell
- Final energy: -25.661 eV/cell

Lattice parameters (Å, degrees): 6.5789 3.7959 6.6920 90.00 108.97 90.00
With the nearest neighbours (Å) after each atom.
Space group C2/m (No. 12)
Unique sites:
Li: 0.0000 0.0000 0.0000 (multiplicity 2)  6 Cl 2.62
Ag: 0.0000 0.5000 0.5000 (multiplicity 2)  6 Cl 2.79-2.80
Cl: 0.2408 0.5000 0.2260 (multiplicity 4)  3 Li 2.62, 3 Ag 2.79-2.80


# 3
First-principles (GGA-PBE) data for a relaxed AcPa2Se6 crystal, as listed in the Alexandria database.

Computed properties:
- M_tot: 2.20 μB/cell
- Offset from the most stable computed form: 0.037 eV/atom
- Final energy: -114.468 eV/cell

Lattice parameters (Å, degrees): 14.1800 5.4908 9.6681 90.00 125.33 90.00
With the nearest neighbours (Å) after each atom.
Space group C2/m (No. 12)
Unique sites:
Ac: 0.0000 0.0000 0.0000 (multiplicity 2)  8 Se 3.13-3.46
Pa: 0.1819 0.0000 0.6009 (multiplicity 4)  6 Se 2.68-2.93
Se: 0.0361 0.0000 0.7093 (multiplicity 4)  2 Pa 2.80-2.81
Se: 0.1413 0.5000 0.0701 (multiplicity 4)  1 Pa 2.68
Se: 0.2326 0.5000 0.6118 (multiplicity 4)  3 Pa 2.82-2.93


# 4
First-principles (GGA-PBE) data for a relaxed Mg3CdPb4 crystal, as listed in the Alexandria database.

Computed properties:
- M_tot: 0.00 μB/cell
- Offset from the most stable computed form: 0.000 eV/atom
- Final energy: -20.698 eV/cell
- Formation energy from the elements: -0.021 eV per atom

Lattice parameters (Å, degrees): 3.5074 3.5074 17.3640 90.00 90.00 90.00
With the nearest neighbours (Å) after each atom.
Space group P4/mmm (No. 123)
Unique sites:
Mg: 0.0000 0.0000 0.0000 (multiplicity 1)  8 Pb 3.26, 4 Mg 3.51
Mg: 0.0000 0.0000 0.2441 (multiplicity 2)  8 Pb 3.26-3.28, 4 Mg 3.51
Cd: 0.0000 0.0000 0.5000 (multiplicity 1)  8 Pb 3.38, 4 Cd 3.51
Pb: 0.5000 0.5000 0.1220 (multiplicity 2)  8 Mg 3.26, 4 Pb 3.51
Pb: 0.5000 0.5000 0.3675 (multiplicity 2)  4 Mg 3.28, 4 Cd 3.38, 4 Pb 3.51


So what do the calculations give for V? Going down the list: 18.1 19.8 34.1 26.7 Å³ per atom.